Record 1
La3Sm2DyTe6 (PBE-GGA, optimized geometry); uncorrected energy = -5.45 eV/atom; symmetry = C2/m, No. 12; ΔE_f (raw) = -1.4765 eV/atom; ρ = 7.081 g/cm³
1.0
-3.111 3.217 0.246
-6.372 -6.263 1.331
4.525 0.569 8.956
Te La Dy Sm
6 3 1 2
direct
0.668 0.578 0.336
0.001 0.239 0.003
0.338 0.913 0.677
0.662 0.087 0.323
0.999 0.761 0.997
0.332 0.422 0.664
0.169 0.834 0.338
0.500 0.500 0.000
0.831 0.166 0.662
0.500 0.000 0.000
0.168 0.335 0.335
0.832 0.665 0.665

Record 2
MnGaNi5 (PBE-GGA, optimized geometry); formation enthalpy at 0 K = -0.08 eV/atom; uncorrected energy = -5.95 eV/atom; symmetry = C2/c, No. 15; ρ = 8.346 g/cm³; energy relative to the lowest polymorph listed for this composition = 0.0 kJ/mol of atoms
1.0
-2.311 -2.648 -2.935
4.149 -0.583 -1.846
2.173 -7.995 2.270
Ga Ni Mn
2 10 2
direct
0.000 0.000 0.000
0.000 0.000 0.500
0.862 0.138 0.250
0.766 0.453 0.959
0.396 0.012 0.152
0.604 0.988 0.848
0.012 0.396 0.652
0.453 0.766 0.459
0.547 0.234 0.541
0.988 0.604 0.348
0.234 0.547 0.041
0.138 0.862 0.750
0.513 0.487 0.250
0.487 0.513 0.750

Record 3
RhPbCl (PBE-GGA, optimized geometry); uncorrected energy = -4.32 eV/atom; symmetry = P-6m2, No. 187; ΔE_f (raw) = -0.0165 eV/atom; ρ = 9.538 g/cm³; energy relative to the lowest polymorph listed for this composition = 0.3 kJ/mol of atoms
1.0
4.495 0.000 0.000
-2.247 3.893 0.000
0.000 0.000 3.438
Rh Pb Cl
1 1 1
direct
0.667 0.333 0.832
0.333 0.667 0.334
0.000 0.000 0.834

Record 4
CrRe2TeCl (PBE-GGA, optimized geometry); uncorrected energy = -6.22 eV/atom; symmetry = P4/mmm, No. 123; ΔE_f (raw) = 1.6783 eV/atom; ρ = 9.206 g/cm³
1.0
-2.796 2.830 -2.373
-2.006 -3.894 -2.281
-3.178 -0.328 3.354
Te Cl Re Cr
1 1 2 1
direct
0.000 0.500 0.000
0.500 0.500 0.500
0.000 0.000 0.500
0.500 0.000 0.000
0.000 0.000 0.000

Record 5
La2Al6Si3 (PBE-GGA, optimized geometry); uncorrected energy = -4.70 eV/atom; symmetry = P-62m, No. 189; ΔE_f (raw) = -0.2851 eV/atom; ρ = 3.968 g/cm³
1.0
4.163 0.000 0.000
0.000 6.753 -3.899
0.000 0.000 7.798
Al Si La
6 3 2
direct
0.500 0.281 0.000
0.000 0.000 0.807
0.500 0.719 0.719
0.000 0.193 0.193
0.000 0.807 0.000
0.500 0.000 0.281
0.500 0.606 0.000
0.500 0.000 0.606
0.500 0.394 0.394
0.000 0.333 0.667
0.000 0.667 0.333

Record 6
PmGdTlCd (PBE-GGA, optimized geometry); formation enthalpy at 0 K = -0.37 eV/atom; uncorrected energy = -5.90 eV/atom; symmetry = F-43m, No. 216; ρ = 9.148 g/cm³
1.0
5.417 0.000 0.000
2.708 4.691 0.000
2.708 1.564 4.423
Tl Gd Cd Pm
1 1 1 1
direct
0.750 0.750 0.750
0.500 0.500 0.500
0.250 0.250 0.250
0.000 0.000 0.000

Record 7
Pm8AgPb6 (PBE-GGA, optimized geometry); formation enthalpy at 0 K = -0.41 eV/atom; uncorrected energy = -4.62 eV/atom; symmetry = R-3, No. 148; ρ = 8.280 g/cm³
1.0
9.515 0.000 0.000
4.758 8.240 0.000
4.758 2.747 6.423
Pm Pb Ag
8 6 1
direct
0.332 0.332 0.005
0.638 0.184 0.278
0.668 0.668 0.995
0.100 0.362 0.722
0.184 0.900 0.278
0.816 0.100 0.722
0.900 0.638 0.278
0.362 0.816 0.722
0.700 0.455 0.773
0.545 0.928 0.227
0.072 0.700 0.773
0.300 0.545 0.227
0.455 0.072 0.773
0.928 0.300 0.227
0.000 0.000 0.000

Record 8
BeInW2 (PBE-GGA, optimized geometry); formation enthalpy at 0 K = 0.64 eV/atom; uncorrected energy = -7.45 eV/atom; symmetry = R-3m, No. 166; ρ = 12.807 g/cm³; energy relative to the lowest polymorph listed for this composition = 28.1 kJ/mol of atoms
1.0
9.040 -0.019 -0.011
8.587 2.823 -0.011
8.587 1.366 2.471
In W Be
1 2 1
direct
0.750 0.750 0.750
0.509 0.509 0.509
0.991 0.991 0.991
0.250 0.250 0.250

Record 9
Zn2OsRu (PBE-GGA, optimized geometry); formation enthalpy at 0 K = 0.32 eV/atom; uncorrected energy = -5.44 eV/atom; symmetry = Cmmm, No. 65; ρ = 12.340 g/cm³; energy relative to the lowest polymorph listed for this composition = 30.8 kJ/mol of atoms
1.0
-0.291 -4.661 0.901
4.362 1.749 0.735
-0.653 0.541 2.588
Os Zn Ru
1 2 1
direct
0.500 0.000 0.500
0.000 0.000 0.000
0.500 0.500 0.000
0.000 0.500 0.500

Record 10
IrBrCl2 (PBE-GGA, optimized geometry); uncorrected energy = -2.38 eV/atom; symmetry = I4/mmm, No. 139; ΔE_f (raw) = 1.1816 eV/atom; ρ = 7.120 g/cm³; energy relative to the lowest polymorph listed for this composition = 153.2 kJ/mol of atoms
1.0
-3.745 1.780 2.812
0.818 -2.581 4.216
3.392 2.764 -2.441
Br Cl Ir
1 2 1
direct
0.750 0.250 0.500
0.000 0.000 0.000
0.500 0.500 0.000
0.250 0.750 0.500

Record 11
LiTbSiPt2 (PBE-GGA, optimized geometry); uncorrected energy = -5.76 eV/atom; symmetry = I-4m2, No. 119; ΔE_f (raw) = -0.9542 eV/atom; ρ = 11.034 g/cm³
1.0
3.908 0.000 0.000
0.000 3.908 0.000
-1.954 -1.954 5.757
Pt Tb Si Li
2 1 1 1
direct
0.619 0.619 0.238
0.381 0.381 0.762
0.000 0.000 0.000
0.250 0.750 0.500
0.750 0.250 0.500

Record 12
Zn6Pd3Pt (PBE-GGA, optimized geometry); formation enthalpy at 0 K = -0.45 eV/atom; uncorrected energy = -3.38 eV/atom; symmetry = P2_1/m, No. 11; ρ = 10.326 g/cm³; energy relative to the lowest polymorph listed for this composition = 0.0 kJ/mol of atoms
1.0
4.480 0.000 0.000
0.000 6.791 -2.634
0.000 -0.222 9.672
Zn Pd Pt
12 6 2
direct
0.750 0.832 0.830
0.250 0.660 0.679
0.750 0.938 0.130
0.250 0.467 0.078
0.250 0.062 0.870
0.250 0.259 0.488
0.750 0.533 0.922
0.250 0.168 0.170
0.750 0.340 0.321
0.750 0.741 0.512
0.250 0.855 0.286
0.750 0.145 0.714
0.250 0.779 0.986
0.750 0.634 0.214
0.250 0.541 0.376
0.750 0.221 0.014
0.250 0.366 0.786
0.750 0.459 0.624
0.250 0.954 0.581
0.750 0.046 0.419

Record 13
Tl12In6Pb (PBE-GGA, optimized geometry); formation enthalpy at 0 K = 0.06 eV/atom; uncorrected energy = -2.49 eV/atom; symmetry = R-3, No. 148; ρ = 9.493 g/cm³; energy relative to the lowest polymorph listed for this composition = 2.1 kJ/mol of atoms
1.0
-3.166 4.856 6.422
-7.042 -2.059 -4.584
2.034 -7.424 3.948
Tl In Pb
12 6 1
direct
0.192 0.573 0.570
0.739 0.263 0.002
0.263 0.002 0.739
0.002 0.739 0.263
0.430 0.808 0.427
0.737 0.998 0.261
0.427 0.430 0.808
0.570 0.192 0.573
0.808 0.427 0.430
0.261 0.737 0.998
0.573 0.570 0.192
0.998 0.261 0.737
0.587 0.837 0.834
0.166 0.413 0.163
0.837 0.834 0.587
0.413 0.163 0.166
0.834 0.587 0.837
0.163 0.166 0.413
0.000 0.000 0.000

Record 14
Tm12Ni6Pb (PBE-GGA, optimized geometry); formation enthalpy at 0 K = -0.41 eV/atom; uncorrected energy = -5.25 eV/atom; symmetry = Im-3, No. 204; ρ = 9.751 g/cm³
1.0
8.302 0.000 0.000
-2.767 7.827 0.000
-2.767 -3.914 6.779
Tm Ni Pb
12 6 1
direct
0.492 0.188 0.304
0.696 0.508 0.812
0.304 0.492 0.188
0.116 0.812 0.304
0.812 0.696 0.508
0.884 0.188 0.696
0.304 0.116 0.812
0.812 0.304 0.116
0.508 0.812 0.696
0.696 0.884 0.188
0.188 0.696 0.884
0.188 0.304 0.492
0.124 0.624 0.500
0.876 0.376 0.500
0.376 0.500 0.876
0.500 0.124 0.624
0.500 0.876 0.376
0.624 0.500 0.124
0.000 0.000 0.000

Record 15
Pr5Ho2Er3 (PBE-GGA, optimized geometry); formation enthalpy at 0 K = 0.17 eV/atom; uncorrected energy = -4.50 eV/atom; symmetry = C2/c, No. 15; ρ = 7.472 g/cm³; energy relative to the lowest polymorph listed for this composition = 0.0 kJ/mol of atoms
1.0
8.837 2.145 -4.338
0.612 9.056 -4.369
-2.287 -2.672 10.764
Er Ho Pr
6 4 10
direct
0.280 0.530 0.751
0.029 0.778 0.249
0.773 0.023 0.046
0.971 0.222 0.751
0.227 0.977 0.954
0.720 0.470 0.249
0.217 0.965 0.241
0.524 0.275 0.241
0.783 0.035 0.759
0.476 0.725 0.759
0.021 0.771 0.543
0.271 0.521 0.042
0.621 0.874 0.238
0.481 0.731 0.462
0.979 0.229 0.457
0.379 0.126 0.762
0.883 0.636 0.762
0.729 0.479 0.958
0.519 0.269 0.538
0.117 0.364 0.238

Record 16
Cd2PdRuO6 (PBE-GGA, optimized geometry); uncorrected energy = -5.15 eV/atom; symmetry = P4mm, No. 99; ΔE_f (raw) = -0.5501 eV/atom; ρ = 6.510 g/cm³
1.0
-1.216 4.048 -1.342
-4.536 -0.330 3.115
2.744 2.227 4.231
O Ru Cd Pd
6 1 2 1
direct
0.715 0.764 0.764
0.715 0.236 0.236
0.152 0.500 0.500
0.715 0.764 0.236
0.715 0.236 0.764
0.188 0.000 0.000
0.592 0.000 0.000
0.017 0.000 0.500
0.017 0.500 0.000
0.622 0.500 0.500

Record 17
Pm2CdF8 (PBE-GGA, optimized geometry); uncorrected energy = -5.88 eV/atom; symmetry = C2/m, No. 12; ΔE_f (raw) = -3.5694 eV/atom; ρ = 6.232 g/cm³
1.0
3.672 0.000 -0.923
-0.266 5.485 -1.057
-0.046 -1.135 7.580
F Cd Pm
8 1 2
direct
0.595 0.438 0.191
0.322 0.038 0.644
0.039 0.813 0.079
0.405 0.562 0.809
0.781 0.675 0.562
0.961 0.187 0.921
0.678 0.962 0.356
0.219 0.325 0.438
0.500 0.000 0.000
0.175 0.683 0.349
0.825 0.317 0.651

Record 18
Pb2Br (PBE-GGA, optimized geometry); uncorrected energy = -3.03 eV/atom; symmetry = Fd-3m, No. 227; ΔE_f (raw) = 0.0048 eV/atom; ρ = 8.259 g/cm³; energy relative to the lowest polymorph listed for this composition = 26.9 kJ/mol of atoms
1.0
3.767 -5.341 0.443
-2.554 -5.917 -1.174
1.684 -3.279 -5.415
Pb Br
4 2
direct
0.125 0.125 0.625
0.625 0.125 0.125
0.125 0.625 0.125
0.125 0.125 0.125
0.500 0.500 0.500
0.750 0.750 0.750

Record 19
P2RuAuS (PBE-GGA, optimized geometry); uncorrected energy = -4.82 eV/atom; symmetry = P4/mmm, No. 123; ΔE_f (raw) = 0.6779 eV/atom; ρ = 6.480 g/cm³; energy relative to the lowest polymorph listed for this composition = 0.0 kJ/mol of atoms
1.0
-3.532 -2.490 -0.904
2.586 -2.913 -2.078
0.672 -2.559 4.423
Ru Au P S
1 1 2 1
direct
0.000 0.000 0.000
0.500 0.500 0.500
0.500 0.000 0.000
0.000 0.500 0.000
0.000 0.000 0.500

Record 20
LiTmSnRu (PBE-GGA, optimized geometry); formation enthalpy at 0 K = -0.44 eV/atom; uncorrected energy = -5.35 eV/atom; symmetry = F-43m, No. 216; ρ = 9.001 g/cm³; energy relative to the lowest polymorph listed for this composition = 0.0 kJ/mol of atoms
1.0
-0.070 0.559 -4.657
2.623 -2.766 -2.734
-2.045 -3.229 -2.720
Li Tm Sn Ru
1 1 1 1
direct
0.250 0.250 0.250
0.000 0.000 0.000
0.500 0.500 0.500
0.750 0.750 0.750